Entry from Alexandria: KAs3H after structural relaxation (PBE).

Summary:
* total magnetic moment: 0.00 μB per cell
* symmetry: No. 221
* E above lowest polymorph: 0.0 meV per atom
* E_tot: -16.54 eV for the cell shown

abc: 4.5234 4.5234 4.5234
angles: 90.00 90.00 90.00
Last column: nearest neighbours and their distance in Å.
Sites, in units of the cell vectors:
K: 0.0000 0.0000 0.0000  12 As 3.20
As: 0.0000 0.5000 0.5000  2 H 2.26
As: 0.5000 0.0000 0.5000  2 H 2.26
As: 0.5000 0.5000 0.0000  2 H 2.26
H: 0.5000 0.5000 0.5000  6 As 2.26